! MnInSn2F GGA+U relaxed; values from VASP
! total moment = 0.94 μB per atom
! DFT total energy = -3.619 eV/atom
! D(E_F) = 4.00 states/eV/cell
&SYSTEM
  ibrav = 0, nat = 5, ntyp = 4
/
ATOMIC_SPECIES
F 19.00 F.upf
Mn 54.94 Mn.upf
Sn 118.71 Sn.upf
In 114.82 In.upf
CELL_PARAMETERS angstrom
-2.939 3.417 -3.337
1.616 -2.812 -4.303
-4.471 -3.348 0.509
ATOMIC_POSITIONS crystal
F 0.500 0.500 0.500
Mn 0.000 0.500 0.000
Sn 0.000 0.000 0.500
Sn 0.500 0.000 0.000
In 0.000 0.000 0.000